A geometry-optimized ReNiHgGe structure, computed with PBE.

```
ReNiHgGe
1.0
1.469 -2.293 3.650
-2.608 -0.266 3.723
-1.946 -3.956 1.138
Ge Re Ni Hg
1 1 1 1
Direct
0.000 0.000 0.000 Ge
0.500 0.500 0.500 Re
0.750 0.750 0.750 Ni
0.250 0.250 0.250 Hg
```

Values from the calculation:
As for the final energy: -19.05 eV for the cell shown.